Record 1
The following is a DFT calculation (GGA-PBE) of a relaxed Ce3ZrH8 crystal.

```
Ce3ZrH8
1.0
-2.9434 4.2354 -1.0676
-2.5334 -2.7041 -3.7432
-3.5581 -1.5784 3.5483
Ce Zr H
3 1 8
direct
0.5000 0.5000 0.0000
0.5000 0.0000 0.5000
0.0000 0.5000 0.5000
0.0000 0.0000 0.0000
0.2300 0.2300 0.7700
0.2300 0.7700 0.2300
0.7700 0.2300 0.2300
0.7700 0.7700 0.7700
0.7700 0.7700 0.2300
0.7700 0.2300 0.7700
0.2300 0.7700 0.7700
0.2300 0.2300 0.2300
```

Results
As for the energy: -59.58 eV per formula unit. Its calculated density is 5.905 g cm⁻³. The spin magnetization is 2.389 μB/f.u. The calculation puts the volume at 12.176 A^3/atom. The density of states at the Fermi level is 19.238 states/eV per cell.

Record 2
The following is a DFT calculation (GGA-PBE) of a relaxed Li2Tb2ScIn2 crystal.

```
Li2Tb2ScIn2
1.0
-0.6028 3.0731 3.5955
2.7909 -0.2660 3.8568
6.3898 6.3975 -1.2352
Li Tb Sc In
2 2 1 2
direct
0.6153 0.6153 0.1540
0.3847 0.3847 0.8460
0.1255 0.1255 0.6235
0.8745 0.8745 0.3765
0.0000 0.0000 0.0000
0.7334 0.7334 0.7999
0.2666 0.2666 0.2001
```

Results
Its calculated density is 5.877 g cm⁻³. The formation energy comes out at -0.2073 eV per atom. The spin magnetization is 0.000 μB/f.u. The calculation puts the volume at 24.473 A^3/atom. The density of states at the Fermi level is 5.536 states/eV per cell.

Record 3
The following is a DFT calculation (GGA-PBE) of a relaxed Sm2SBr2O crystal.

```
Sm2SBr2O
1.0
-2.6419 2.0592 2.1425
-5.2297 -2.0307 -4.4968
-1.9846 -9.3324 6.5224
Sm S Br O
4 2 4 2
direct
0.0000 0.2477 0.7170
0.5000 0.3452 0.4370
0.0000 0.7477 0.2830
0.5000 0.8452 0.5630
0.0000 0.0379 0.4397
0.0000 0.5379 0.5603
0.5000 0.8808 0.1168
0.0000 0.3569 0.2322
0.5000 0.3808 0.8832
0.0000 0.8569 0.7678
0.5000 0.1772 0.6204
0.5000 0.6772 0.3796
```

Results
Its calculated density is 5.112 g cm⁻³. The spin magnetization is 0.000 μB/f.u. The calculation puts the uncorrected formation energy at -2.394 eV per atom. The calculation puts the volume at 27.534 A^3/atom. The density of states at the Fermi level is 0.000 states/eV per cell.

Record 4
The following is a DFT calculation (GGA-PBE) of a relaxed TbPr3Er3S8 crystal.

```
TbPr3Er3S8
1.0
-2.5080 7.4454 0.7212
-5.0612 -5.6831 -2.0811
2.8146 0.2209 7.5068
Tb Pr Er S
1 3 3 8
direct
0.0000 0.0000 0.5000
0.0000 0.0000 0.0000
0.0000 0.5000 0.0000
0.5000 0.5000 0.0000
0.5000 0.0000 0.5000
0.5000 0.5000 0.5000
0.0000 0.5000 0.5000
0.2572 0.5144 0.2717
0.7428 0.4856 0.7283
0.7523 0.5046 0.2667
0.2477 0.4954 0.7333
0.7523 0.0144 0.2667
0.2477 0.9856 0.7333
0.2621 0.0144 0.2667
0.7379 0.9856 0.7333
```

Results
Its calculated density is 6.253 g cm⁻³. The spin magnetization is 0.000 μB/f.u. The calculation puts the uncorrected formation energy at -2.041 eV per atom. The calculation puts the volume at 23.722 A^3/atom. The density of states at the Fermi level is 6.820 states/eV per cell.

Record 5
The following is a DFT calculation (GGA-PBE) of a relaxed BaNbNF2 crystal.

```
BaNbNF2
1.0
-4.0647 -0.8223 -1.5634
1.0200 -4.2951 -0.3928
-1.3513 -0.6747 3.8684
Nb N Ba F
1 1 1 2
direct
0.0000 0.0000 0.0000
0.0000 0.0000 0.5000
0.5000 0.5000 0.5000
0.0000 0.5000 0.0000
0.5000 0.0000 0.0000
```

Results
Its calculated density is 5.746 g cm⁻³. The spin magnetization is 1.307 μB/f.u. The calculation puts the uncorrected formation energy at -1.867 eV per atom. The calculation puts the volume at 16.314 A^3/atom. The calculation puts the energy relative to the lowest polymorph listed for this composition at 0 meV/atom. The density of states at the Fermi level is 2.524 states/eV per cell.

Record 6
The following is a DFT calculation (GGA-PBE) of a relaxed Tl4InF5 crystal.

```
Tl4InF5
1.0
5.9691 0.0000 0.0000
2.9845 6.1041 0.0000
2.9845 0.0000 6.1041
Tl In F
4 1 5
direct
0.4036 0.3896 0.8051
0.7932 0.8051 0.6104
0.2086 0.1949 0.3896
0.5982 0.6104 0.1949
0.9638 0.0000 0.0000
0.9571 0.3781 0.8123
0.3352 0.8123 0.6219
0.7694 0.1877 0.3781
0.1475 0.6219 0.1877
0.3339 0.0000 0.0000
```

Results
Its calculated density is 7.670 g cm⁻³. The spin magnetization is 0.000 μB/f.u. The calculation puts the uncorrected formation energy at -1.710 eV per atom. The calculation puts the volume at 22.241 A^3/atom. The density of states at the Fermi level is 0.000 states/eV per cell.

Record 7
The following is a DFT calculation (GGA-PBE) of a relaxed AgSeBr2 crystal.

```
AgSeBr2
1.0
1.3939 10.1364 8.0093
4.2886 8.8770 8.4643
3.7824 10.8718 6.0278
Se Br Ag
1 2 1
direct
0.5000 0.5000 0.5000
0.9353 0.9353 0.9353
0.0647 0.0647 0.0647
0.0000 0.0000 0.0000
```

Results
Its calculated density is 5.080 g cm⁻³. The spin magnetization is 0.357 μB/f.u. The calculation puts the uncorrected formation energy at 0.361 eV per atom. The calculation puts the volume at 28.328 A^3/atom. The calculation puts the energy relative to the lowest polymorph listed for this composition at 517 meV/atom. The density of states at the Fermi level is 3.103 states/eV per cell.

Record 8
The following is a DFT calculation (GGA-PBE) of a relaxed AsPt4Cl crystal.

```
AsPt4Cl
1.0
0.0000 3.7793 3.7793
3.7793 0.0000 3.7793
3.7793 3.7793 0.0000
As Pt Cl
1 4 1
direct
0.7500 0.7500 0.7500
0.8737 0.3754 0.3754
0.3754 0.3754 0.8737
0.3754 0.8737 0.3754
0.3754 0.3754 0.3754
0.0000 0.0000 0.0000
```

Results
Its calculated density is 13.700 g cm⁻³. The spin magnetization is 0.000 μB/f.u. The calculation puts the uncorrected formation energy at 0.414 eV per atom. The calculation puts the volume at 17.993 A^3/atom. The density of states at the Fermi level is 2.520 states/eV per cell.

Record 9
The following is a DFT calculation (GGA-PBE) of a relaxed CrRu2W crystal.

```
CrRu2W
1.0
-4.2862 -6.7942 4.0915
-2.4779 -8.2468 2.6689
-1.7924 -7.2193 5.0934
Cr Ru W
1 2 1
direct
0.7460 0.7460 0.7460
0.0051 0.0051 0.0051
0.2492 0.2492 0.2492
0.4996 0.4996 0.4996
```

Results
Its calculated density is 12.777 g cm⁻³. The formation energy comes out at 0.2188 eV per atom. The spin magnetization is 0.000 μB/f.u. The calculation puts the volume at 14.230 A^3/atom. The calculation puts the energy relative to the lowest polymorph listed for this composition at 138 meV/atom. The density of states at the Fermi level is 4.181 states/eV per cell.

Record 10
The following is a DFT calculation (GGA-PBE) of a relaxed CsPrCuBr5 crystal.

```
CsPrCuBr5
1.0
-4.6055 5.9848 -2.8762
-3.4888 -6.8422 -2.5126
-1.9470 0.1368 10.8077
Cs Pr Cu Br
2 2 2 10
direct
0.3524 0.6476 0.2500
0.6476 0.3524 0.7500
0.0000 0.0000 0.5000
0.0000 0.0000 0.0000
0.6924 0.3076 0.2500
0.3076 0.6924 0.7500
0.0771 0.9229 0.2500
0.9229 0.0771 0.7500
0.8956 0.3089 0.1132
0.1044 0.6911 0.8868
0.6911 0.1044 0.3868
0.3089 0.8956 0.6132
0.7730 0.6154 0.4184
0.2270 0.3846 0.5816
0.3846 0.2270 0.0816
0.6154 0.7730 0.9184
```

Results
Its calculated density is 3.862 g cm⁻³. The spin magnetization is 0.152 μB/f.u. The calculation puts the uncorrected formation energy at -1.445 eV per atom. The calculation puts the volume at 39.601 A^3/atom. The density of states at the Fermi level is 0.000 states/eV per cell.

Record 11
The following is a DFT calculation (GGA-PBE) of a relaxed Ni2WCl crystal.

```
Ni2WCl
1.0
3.7042 -2.1895 0.1214
0.0220 -4.1264 1.2257
0.7640 -3.0991 -2.8882
Ni W Cl
2 1 1
direct
0.2500 0.2500 0.2500
0.7500 0.7500 0.7500
0.5000 0.5000 0.5000
0.0000 0.0000 0.0000
```

Results
Its calculated density is 9.912 g cm⁻³. The spin magnetization is 0.000 μB/f.u. The calculation puts the uncorrected formation energy at 1.009 eV per atom. The calculation puts the volume at 14.101 A^3/atom. The calculation puts the energy relative to the lowest polymorph listed for this composition at 860 meV/atom. The density of states at the Fermi level is 3.628 states/eV per cell.

Record 12
The following is a DFT calculation (GGA-PBE) of a relaxed Pu3RuAu crystal.

```
Pu3RuAu
1.0
-1.4460 6.8103 -0.5119
-2.1612 -0.9526 -6.5692
-6.4785 -1.2022 2.3057
Pu Ru Au
9 3 3
direct
0.5000 0.5000 0.5000
0.2318 0.2318 0.2318
0.7682 0.7682 0.2318
0.7682 0.2318 0.7682
0.2318 0.7682 0.7682
0.2318 0.2318 0.7682
0.7682 0.7682 0.7682
0.2318 0.7682 0.2318
0.7682 0.2318 0.2318
0.5000 0.0000 0.0000
0.0000 0.5000 0.0000
0.0000 0.0000 0.5000
0.0000 0.5000 0.5000
0.5000 0.0000 0.5000
0.5000 0.5000 0.0000
```

Results
Its calculated density is 15.083 g cm⁻³. The formation energy comes out at -0.0897 eV per atom. The spin magnetization is 16.188 μB/f.u. The calculation puts the volume at 22.680 A^3/atom. The density of states at the Fermi level is 63.188 states/eV per cell.